1.
Material: Li2In2Co
Method: DFT, GGA-PBE
State: relaxed

a b c (Å): 4.8868 4.8868 4.9182
angles (deg): 60.21 60.21 90.00
Fractional positions:
In 0.2500 0.7500 0.5000
Co 0.0000 0.0000 0.0000
Li 0.3495 0.3495 0.3010
In 0.7500 0.2500 0.5000
Li 0.6505 0.6505 0.6990

ΔE_f = 0.307 eV per atom
Space-group type = I4/mmm (139)
Energy above the most stable polymorph in this dataset = 16.7 kJ per mole of atoms
Spin magnetization = 0.0 μB per formula unit

2.
Material: LiInCo3
Method: DFT, GGA-PBE
State: relaxed

a b c (Å): 4.0417 4.0417 4.0417
angles (deg): 90.00 90.00 90.00
Fractional positions:
Co 0.0000 0.5000 0.0000
Co 0.0000 0.0000 0.5000
Li 0.0000 0.0000 0.0000
In 0.5000 0.5000 0.5000
Co 0.5000 0.0000 0.0000

ΔE_f = 0.784 eV per atom
Space-group type = Pm-3m (221)
Energy above the most stable polymorph in this dataset = 0.0 kJ per mole of atoms
Spin magnetization = 3.2 μB per formula unit

3.
Material: Li2InCo
Method: DFT, GGA-PBE
State: relaxed

a b c (Å): 2.8782 2.8782 7.7171
angles (deg): 90.00 90.00 90.33
Fractional positions:
In 0.5000 0.5000 0.7500
Co 0.5000 0.5000 0.2500
Li 0.0000 0.0000 0.4679
Li 0.0000 0.0000 0.0321

ΔE_f = 0.172 eV per atom
Space-group type = Cmmm (65)
Spin magnetization = 1.5 μB per formula unit

4.
Material: Li2In2Co
Method: DFT, GGA-PBE
State: relaxed

a b c (Å): 7.2746 7.2746 3.3043
angles (deg): 90.00 90.00 90.00
Fractional positions:
Li 0.1494 0.6494 0.5000
In 0.8453 0.6547 0.0000
In 0.3453 0.8453 0.0000
Li 0.3506 0.1494 0.5000
Li 0.8506 0.3506 0.5000
In 0.1547 0.3453 0.0000
Co 0.0000 0.0000 0.0000
In 0.6547 0.1547 0.0000
Li 0.6494 0.8506 0.5000
Co 0.5000 0.5000 0.0000

ΔE_f = 0.134 eV per atom
Space-group type = P4/mbm (127)
Energy above the most stable polymorph in this dataset = 0.0 kJ per mole of atoms
Spin magnetization = 1.3 μB per formula unit

5.
Material: LiIn2Co
Method: DFT, GGA-PBE
State: relaxed

a b c (Å): 5.5172 5.5172 5.5172
angles (deg): 145.73 132.88 59.54
Fractional positions:
Li 0.4716 0.4716 0.0000
In 0.7519 0.2519 0.5000
Co 0.2502 0.7502 0.5000
In 0.0262 0.0262 0.0000

ΔE_f = 0.019 eV per atom
Space-group type = Imm2 (44)
Spin magnetization = 0.8 μB per formula unit

6.
Material: Li2In2Co
Method: DFT, GGA-PBE
State: relaxed

a b c (Å): 7.1890 7.1890 3.1690
angles (deg): 90.00 90.00 90.00
Fractional positions:
Co 0.5000 0.5000 0.0000
In 0.8262 0.3262 0.5000
In 0.1738 0.6738 0.5000
Li 0.8732 0.6268 0.0000
Li 0.1268 0.3732 0.0000
In 0.3262 0.1738 0.5000
Li 0.6268 0.1268 0.0000
In 0.6738 0.8262 0.5000
Co 0.0000 0.0000 0.0000
Li 0.3732 0.8732 0.0000

ΔE_f = 0.166 eV per atom
Space-group type = P4/mbm (127)
Energy above the most stable polymorph in this dataset = 3.1 kJ per mole of atoms
Spin magnetization = 1.3 μB per formula unit

7.
Material: Li2InCo2
Method: DFT, GGA-PBE
State: relaxed

a b c (Å): 6.7214 6.7214 3.2324
angles (deg): 90.00 90.00 90.00
Fractional positions:
Li 0.8245 0.3245 0.5000
Co 0.3855 0.8855 0.0000
Co 0.8855 0.6145 0.0000
In 0.5000 0.5000 0.0000
Li 0.6755 0.8245 0.5000
Li 0.3245 0.1755 0.5000
In 0.0000 0.0000 0.0000
Co 0.1145 0.3855 0.0000
Co 0.6145 0.1145 0.0000
Li 0.1755 0.6755 0.5000

ΔE_f = 0.215 eV per atom
Space-group type = P4/mbm (127)
Spin magnetization = 2.8 μB per formula unit

8.
Material: Li2MgInCo
Method: DFT, GGA-PBE
State: relaxed

a b c (Å): 4.5732 4.9045 4.5732
angles (deg): 90.00 90.00 90.00
Fractional positions:
Li 0.0000 0.0000 0.5000
In 0.0000 0.5000 0.0000
Mg 0.5000 0.5000 0.5000
Li 0.5000 0.0000 0.0000
Co 0.0000 0.0000 0.0000

ΔE_f = 0.318 eV per atom
Space-group type = P4/mmm (123)
Spin magnetization = 0.2 μB per formula unit

9.
Material: Li2InCoN
Method: DFT, GGA-PBE
State: relaxed

a b c (Å): 4.2914 4.2914 3.5120
angles (deg): 90.00 90.00 90.00
Fractional positions:
Co 0.0000 0.0000 0.5000
Li 0.0000 0.5000 0.0000
In 0.5000 0.5000 0.5000
Li 0.5000 0.0000 0.0000
N 0.0000 0.0000 0.0000

Space-group type = P4/mmm (123)
Spin magnetization = 0.0 μB per formula unit
Formation energy from raw total energies = -0.275 eV per atom

10.
Material: LiInCoN
Method: DFT, GGA-PBE
State: relaxed

a b c (Å): 4.4922 3.4463 3.9021
angles (deg): 90.00 90.00 90.00
Fractional positions:
N 0.0000 0.0000 0.0000
Co 0.0000 0.5000 0.0000
Li 0.0000 0.0000 0.5000
In 0.5000 0.5000 0.5000

Space-group type = Pmmm (47)
Spin magnetization = 0.0 μB per formula unit
Formation energy from raw total energies = -0.020 eV per atom

11.
Material: LiNdInCo
Method: DFT, GGA-PBE
State: relaxed

a b c (Å): 4.7698 4.7698 4.7698
angles (deg): 60.00 60.00 60.00
Fractional positions:
Nd 0.2500 0.2500 0.2500
Li 0.0000 0.0000 0.0000
In 0.7500 0.7500 0.7500
Co 0.5000 0.5000 0.5000

ΔE_f = -0.128 eV per atom
Space-group type = F-43m (216)
Spin magnetization = 0.6 μB per formula unit

12.
Material: LiPaInCo
Method: DFT, GGA-PBE
State: relaxed

a b c (Å): 4.6389 4.6389 4.6389
angles (deg): 60.00 60.00 60.00
Fractional positions:
Pa 0.0000 0.0000 0.0000
Co 0.7500 0.7500 0.7500
In 0.5000 0.5000 0.5000
Li 0.2500 0.2500 0.2500

ΔE_f = -0.114 eV per atom
Space-group type = F-43m (216)
Spin magnetization = 0.0 μB per formula unit